This record from Alexandria via LeMat-Bulk describes an optimized crystal structure of KNa2SeO4. The functional is PBE-GGA.

Summary:
Raw formation energy, eV/atom: -1.038

a = 6.800 Å, b = 6.800 Å, c = 8.208 Å
α = 127.06°, β = 127.06°, γ = 75.25°
Site moments in Bohr magnetons follow the coordinates.
Fractional positions:
O 0.999 0.000 0.221  0.06
O 0.500 0.499 0.721  0.06
O 0.242 0.806 0.024  0.06
O 0.500 0.501 0.279  0.06
O 0.694 0.258 0.476  0.06
O 0.306 0.742 0.524  0.06
O 0.758 0.194 0.976  0.06
O 0.001 0.000 0.779  0.06
K 0.000 0.500 0.500  0.00
K 0.000 0.500 0.000  0.00
Na 0.500 0.500 0.000  0.00
Na 0.000 0.000 0.500  0.00
Na 0.500 0.000 0.000  0.00
Na 0.500 0.000 0.500  0.00
Se 0.500 0.500 0.500  0.09
Se 0.000 0.000 0.000  0.09

---

This record from Alexandria via LeMat-Bulk describes an optimized crystal structure of LaFeSe2. The functional is PBE-GGA.

Summary:
Raw formation energy, eV/atom: -0.945
E above lowest polymorph, meV per atom: 68

a = 6.840 Å, b = 6.840 Å, c = 6.840 Å
α = 34.83°, β = 34.83°, γ = 34.83°
Site moments in Bohr magnetons follow the coordinates.
Fractional positions:
Se 0.992 0.992 0.992  0.07
Se 0.189 0.189 0.189  0.07
La 0.756 0.756 0.756  -0.07
Fe 0.564 0.564 0.564  2.91

---

This record from Alexandria via LeMat-Bulk describes an optimized crystal structure of MgAgTe2. The functional is PBE-GGA.

Summary:
Raw formation energy, eV/atom: -0.315

a = 6.495 Å, b = 6.495 Å, c = 7.849 Å
α = 65.56°, β = 65.56°, γ = 90.00°
Fractional positions:
Ag 0.750 0.250 0.500
Ag 0.000 0.000 0.000
Te 0.375 0.369 0.750
Te 0.119 0.625 0.250
Te 0.875 0.881 0.750
Te 0.631 0.125 0.250
Mg 0.250 0.750 0.500
Mg 0.500 0.500 0.000

---

This record from Alexandria via LeMat-Bulk describes an optimized crystal structure of YPuFeNi. The functional is PBE-GGA.

Summary:
E_form, meV per atom: 11

a = 4.751 Å, b = 4.751 Å, c = 4.751 Å
α = 60.00°, β = 60.00°, γ = 60.00°
Site moments in Bohr magnetons follow the coordinates.
Fractional positions:
Fe 0.750 0.750 0.750  -1.93
Pu 0.500 0.500 0.500  5.24
Y 0.000 0.000 0.000  0.22
Ni 0.250 0.250 0.250  -0.15

---

This record from Alexandria via LeMat-Bulk describes an optimized crystal structure of VInAg2N. The functional is PBE-GGA.

Summary:
Raw formation energy, eV/atom: 0.504

a = 5.270 Å, b = 3.644 Å, c = 5.270 Å
α = 90.00°, β = 90.00°, γ = 90.00°
Fractional positions:
In 0.500 0.500 0.500
Ag 0.000 0.000 0.500
Ag 0.500 0.000 0.000
V 0.000 0.000 0.000
N 0.000 0.500 0.000

---

This record from Alexandria via LeMat-Bulk describes an optimized crystal structure of LiTe12Au7. The functional is PBE-GGA.

Summary:
Raw formation energy, eV/atom: -0.037

a = 8.745 Å, b = 8.745 Å, c = 8.745 Å
α = 105.23°, β = 105.23°, γ = 105.23°
Fractional positions:
Te 0.612 0.557 0.852
Te 0.019 0.712 0.234
Te 0.712 0.234 0.019
Te 0.766 0.981 0.288
Te 0.852 0.612 0.557
Te 0.981 0.288 0.766
Te 0.288 0.766 0.981
Te 0.148 0.388 0.443
Te 0.388 0.443 0.148
Te 0.443 0.148 0.388
Te 0.234 0.019 0.712
Te 0.557 0.852 0.612
Au 0.054 0.350 0.106
Au 0.350 0.106 0.054
Au 0.894 0.946 0.650
Au 0.946 0.650 0.894
Au 0.500 0.500 0.500
Au 0.650 0.894 0.946
Au 0.106 0.054 0.350
Li 0.000 0.000 0.000